[1]
{
  "formula": "MgCo",
  "functional": "SCAN",
  "state": "PBEsol geometry",
  "ef_ev_per_atom": 0.19,
  "lattice": [[-0.757, 3.887, 0.162], [-2.466, -2.421, -1.942], [-4.777, -1.248, 7.624]],
  "species": ["Co", "Co", "Co", "Co", "Mg", "Mg", "Mg", "Mg"],
  "frac_coords": [[0.000, 0.000, 0.750], [0.000, 0.000, 0.250], [0.667, 0.333, 0.250], [0.333, 0.667, 0.750], [0.667, 0.333, 0.907], [0.333, 0.667, 0.407], [0.333, 0.667, 0.093], [0.667, 0.333, 0.593]]
}

[2]
{
  "formula": "MgCo",
  "functional": "SCAN",
  "state": "PBEsol geometry",
  "ef_ev_per_atom": 0.06,
  "lattice": [[-2.513, -0.430, 1.361], [-1.001, -1.431, -2.302], [2.510, -6.107, 2.705]],
  "species": ["Mg", "Mg", "Co", "Co"],
  "frac_coords": [[0.500, 0.000, 0.676], [0.000, 0.500, 0.324], [0.500, 0.000, 0.081], [0.000, 0.500, 0.919]]
}